This record from Alexandria describes a relaxed Ba7Bi3N2 crystal. The functional is GGA-PBE.

The calculated total energy is -50.32 eV/f.u.

The space group is Cmmm (No. 65) and the conventional cell measures 5.704, 28.647 and 5.336 Å, with angles of 90.00, 90.00 and 90.00 degrees. Symmetry generates all atoms from Ba at (0.000, 0.000, 0.000), Ba at (0.000, 0.100, 0.500), Ba at (0.000, 0.200, 0.000), Ba at (0.000, 0.400, 0.000), Bi at (0.000, 0.312, 0.500), Bi at (0.000, 0.500, 0.500) and N at (0.000, 0.102, 0.000).


This record from Alexandria describes a relaxed Ba12Bi3N5 crystal. The functional is GGA-PBE.

The calculated total energy is -87.29 eV/f.u.

The space group is Ia-3d (No. 230) and the conventional cell measures 18.179, 18.179 and 18.179 Å, with angles of 90.00, 90.00 and 90.00 degrees. Symmetry generates all atoms from Ba at (0.034, 0.050, 0.649), Bi at (0.000, 0.250, 0.125), N at (0.000, 0.000, 0.000) and N at (0.000, 0.250, 0.375).


This record from Alexandria describes a relaxed Ba5Bi2N crystal. The functional is GGA-PBE.

The calculated total energy is -30.04 eV/f.u.

The space group is Cmcm (No. 63) and the conventional cell measures 6.817, 15.566 and 15.311 Å, with angles of 90.00, 90.00 and 90.00 degrees. Symmetry generates all atoms from Ba at (0.000, 0.060, 0.128), Ba at (0.000, 0.296, 0.750), Ba at (0.000, 0.307, 0.115), Bi at (0.000, 0.162, 0.571) and N at (0.000, 0.184, 0.250).


This record from Alexandria describes a relaxed BaBiN2 crystal. The functional is GGA-PBE.

The calculated total energy is -20.08 eV/f.u.

The space group is R-3m (No. 166, hexagonal axes) and the conventional cell measures 4.2745, 4.2745 and 20.7899 Å, with angles of 90.00, 90.00 and 120.00 degrees. Symmetry generates all atoms from Ba at (0.0000, 0.0000, 0.0000), Bi at (0.0000, 0.0000, 0.5000) and N at (0.0000, 0.0000, 0.3996).


The highest calculated total energy belongs to which entry?
BaBiN2